{"formula": "Li3Mn3P4O16", "functional": "PBE with a Hubbard U", "state": "optimized geometry", "lattice": [[8.226, 0.000, 0.000], [0.014, 8.990, 0.000], [0.028, 1.241, 12.891]], "species": ["Li", "Li", "Li", "Li", "Li", "Li", "Li", "Li", "Li", "Mn", "Mn", "Mn", "Mn", "Mn", "Mn", "Mn", "Mn", "Mn", "P", "P", "P", "P", "P", "P", "P", "P", "P", "P", "P", "P", "O", "O", "O", "O", "O", "O", "O", "O", "O", "O", "O", "O", "O", "O", "O", "O", "O", "O", "O", "O", "O", "O", "O", "O", "O", "O", "O", "O", "O", "O", "O", "O", "O", "O", "O", "O", "O", "O", "O", "O", "O", "O", "O", "O", "O", "O", "O", "O"], "fractional_positions": [[0.000, 0.000, 0.000], [0.000, 0.341, 0.674], [0.009, 0.678, 0.333], [0.220, 0.513, 0.004], [0.234, 0.168, 0.332], [0.494, 0.987, 0.337], [0.507, 0.652, 0.673], [0.729, 0.822, 0.997], [0.733, 0.160, 0.676], [0.226, 0.852, 0.657], [0.355, 0.900, 0.997], [0.361, 0.587, 0.336], [0.373, 0.263, 0.678], [0.502, 0.312, 0.015], [0.727, 0.478, 0.349], [0.860, 0.744, 0.671], [0.868, 0.418, 0.002], [0.874, 0.064, 0.330], [0.046, 0.377, 0.224], [0.047, 0.061, 0.552], [0.050, 0.717, 0.889], [0.178, 0.550, 0.557], [0.179, 0.214, 0.893], [0.180, 0.884, 0.220], [0.546, 0.270, 0.455], [0.548, 0.950, 0.781], [0.555, 0.613, 0.115], [0.678, 0.778, 0.449], [0.680, 0.101, 0.118], [0.680, 0.445, 0.783], [0.003, 0.547, 0.911], [0.004, 0.558, 0.598], [0.005, 0.891, 0.263], [0.009, 0.228, 0.938], [0.014, 0.884, 0.582], [0.044, 0.427, 0.106], [0.051, 0.751, 0.766], [0.055, 0.087, 0.432], [0.178, 0.913, 0.098], [0.182, 0.590, 0.437], [0.184, 0.264, 0.774], [0.217, 0.386, 0.269], [0.223, 0.062, 0.601], [0.227, 0.724, 0.927], [0.229, 0.713, 0.244], [0.233, 0.048, 0.910], [0.244, 0.388, 0.580], [0.292, 0.660, 0.608], [0.295, 0.990, 0.266], [0.298, 0.319, 0.947], [0.429, 0.847, 0.725], [0.432, 0.169, 0.406], [0.438, 0.503, 0.067], [0.494, 0.775, 0.092], [0.495, 0.117, 0.764], [0.503, 0.102, 0.071], [0.503, 0.439, 0.745], [0.505, 0.773, 0.407], [0.514, 0.447, 0.423], [0.542, 0.899, 0.899], [0.549, 0.573, 0.237], [0.554, 0.245, 0.574], [0.676, 0.069, 0.238], [0.678, 0.411, 0.907], [0.682, 0.736, 0.569], [0.712, 0.278, 0.091], [0.719, 0.937, 0.736], [0.723, 0.268, 0.405], [0.728, 0.600, 0.075], [0.728, 0.615, 0.763], [0.747, 0.940, 0.428], [0.792, 0.669, 0.396], [0.794, 0.003, 0.066], [0.795, 0.340, 0.738], [0.929, 0.484, 0.279], [0.933, 0.162, 0.601], [0.935, 0.823, 0.935], [0.984, 0.213, 0.239]], "crystal_system": "triclinic", "final_energy_ev_per_atom": -7.07, "magmom_total_mub_per_cell": 35.97}